Run a
This record from Alexandria describes a geometry-optimized Tb4In3 structure. The functional is PBE-GGA.

Output
crystal system = trigonal
space group = No. 148
M_tot = 0.00 Bohr magnetons per cell
D(E_F) = 1.15 states/eV per atom
V = 27.778 Å³ per atom

a b c (Å): 6.6151 8.5290 8.5290
angles (deg): 113.56 104.98 104.98
Positions (direct):
Tb  0.5000  0.0000  0.0000
Tb  0.0000  0.0000  0.0000
Tb  0.9281  0.6963  0.5503
Tb  0.3778  0.4497  0.1459
Tb  0.2318  0.8541  0.3037
Tb  0.0719  0.3037  0.4497
Tb  0.6222  0.5503  0.8541
Tb  0.7682  0.1459  0.6963
In  0.1262  0.5977  0.8718
In  0.2544  0.1282  0.7259
In  0.5285  0.2741  0.4023
In  0.8738  0.4023  0.1282
In  0.7456  0.8718  0.2741
In  0.4715  0.7259  0.5977

Run b
This record from Alexandria describes a geometry-optimized Tb4In3 structure. The functional is PBE-GGA.

Output
crystal system = trigonal
space group = No. 166
M_tot = 0.00 Bohr magnetons per cell
D(E_F) = 1.01 states/eV per atom
V = 31.678 Å³ per atom

a b c (Å): 5.1816 5.1816 9.9951
angles (deg): 74.98 74.98 60.00
Positions (direct):
Tb  0.7055  0.7055  0.8834
Tb  0.8779  0.8779  0.3663
Tb  0.2945  0.2945  0.1166
Tb  0.1221  0.1221  0.6337
In  0.5000  0.5000  0.5000
In  0.5985  0.5985  0.2045
In  0.4015  0.4015  0.7955

Energies in meV per atom, measured from the most stable structure: run a 0; run b 262.